[1]
A geometry-optimized K2TaPbO4 structure, computed with PBE-GGA.

a = 6.816 Å, b = 6.816 Å, c = 7.313 Å
α = 90.00°, β = 90.00°, γ = 90.00°
Space group I-4 (No. 82)
Unique sites:
1 K 0.000 0.000 0.000 (multiplicity 2)
2 K 0.000 0.500 0.250 (multiplicity 2)
3 Ta 0.000 0.500 0.750 (multiplicity 2)
4 Pb 0.000 0.000 0.500 (multiplicity 2)
5 O 0.147 0.336 0.595 (multiplicity 8)

Properties
- ΔE_f (raw): -1.92 eV per atom
- N(E_F): 0.39 states/eV/cell
- Volume: 21.23 Å³/atom

[2]
A geometry-optimized K4Ta3PbO12 structure, computed with PBE-GGA.

a = 8.206 Å, b = 8.206 Å, c = 8.206 Å
α = 90.00°, β = 90.00°, γ = 90.00°
Space group Im-3m (No. 229)
Unique sites:
1 K 0.250 0.250 0.250 (multiplicity 8)
2 Ta 0.000 0.000 0.500 (multiplicity 6)
3 Pb 0.000 0.000 0.000 (multiplicity 2)
4 O 0.000 0.000 0.263 (multiplicity 12)
5 O 0.000 0.250 0.500 (multiplicity 12)

Properties
- ΔE_f (raw): -2.21 eV per atom
- N(E_F): 21.72 states/eV/cell
- Volume: 13.82 Å³/atom

[3]
A geometry-optimized K2TaPbO6 structure, computed with PBE-GGA.

a = 8.365 Å, b = 8.365 Å, c = 8.365 Å
α = 90.00°, β = 90.00°, γ = 90.00°
Space group Fm-3m (No. 225)
Unique sites:
1 K 0.250 0.250 0.250 (multiplicity 8)
2 Ta 0.000 0.000 0.000 (multiplicity 4)
3 Pb 0.000 0.000 0.500 (multiplicity 4)
4 O 0.000 0.000 0.238 (multiplicity 24)

Properties
- ΔE_f (raw): -1.75 eV per atom
- N(E_F): 23.44 states/eV/cell
- Volume: 14.63 Å³/atom

[4]
A geometry-optimized K3Ta2PbO9 structure, computed with PBE-GGA.

a = 5.8336 Å, b = 5.8336 Å, c = 7.1686 Å
α = 90.00°, β = 90.00°, γ = 120.00°
Space group P-3m1 (No. 164)
Unique sites:
1 K 0.0000 0.0000 0.0000 (multiplicity 1)
2 K 0.3333 0.6667 0.6646 (multiplicity 2)
3 Ta 0.3333 0.6667 0.1632 (multiplicity 2)
4 Pb 0.0000 0.0000 0.5000 (multiplicity 1)
5 O 0.0000 0.5000 0.0000 (multiplicity 3)
6 O 0.1737 0.3475 0.3198 (multiplicity 6)

Properties
- ΔE_f (raw): -2.05 eV per atom
- N(E_F): 8.55 states/eV/cell
- Volume: 14.08 Å³/atom

[5]
A geometry-optimized KTaPbO6 structure, computed with PBE-GGA.

a = 5.8372 Å, b = 5.8372 Å, c = 10.8741 Å
α = 90.00°, β = 90.00°, γ = 120.00°
Space group P-31c (No. 163)
Unique sites:
1 K 0.0000 0.0000 0.0000 (multiplicity 2)
2 Ta 0.3333 0.6667 0.2500 (multiplicity 2)
3 Pb 0.3333 0.6667 0.7500 (multiplicity 2)
4 O 0.0220 0.4242 0.1467 (multiplicity 12)

Properties
- ΔE_f (raw): -1.44 eV per atom
- N(E_F): 7.79 states/eV/cell
- Volume: 17.83 Å³/atom

[6]
A geometry-optimized K2TbPbO4 structure, computed with PBE-GGA.

a = 6.143 Å, b = 3.562 Å, c = 6.629 Å
α = 90.00°, β = 108.31°, γ = 90.00°
Space group P2/m (No. 10)
Unique sites:
1 K 0.000 0.000 0.000 (multiplicity 1)
2 K 0.500 0.500 0.000 (multiplicity 1)
3 Tb 0.000 0.500 0.500 (multiplicity 1)
4 Pb 0.500 0.000 0.500 (multiplicity 1)
5 O 0.217 0.000 0.692 (multiplicity 2)
6 O 0.258 0.500 0.304 (multiplicity 2)

Properties
- ΔE_f (raw): -1.93 eV per atom
- N(E_F): 2.85 states/eV/cell
- Volume: 17.21 Å³/atom

[7]
A geometry-optimized KTbPbO3 structure, computed with PBE-GGA.

a = 6.880 Å, b = 3.536 Å, c = 9.403 Å
α = 90.00°, β = 91.80°, γ = 90.00°
Space group P2_1/m (No. 11)
Unique sites:
1 K 0.109 0.250 0.178 (multiplicity 2)
2 Tb 0.413 0.250 0.854 (multiplicity 2)
3 Pb 0.260 0.750 0.555 (multiplicity 2)
4 O 0.146 0.250 0.691 (multiplicity 2)
5 O 0.317 0.750 0.996 (multiplicity 2)
6 O 0.488 0.250 0.288 (multiplicity 2)

Properties
- ΔE_f (raw): -2.19 eV per atom
- N(E_F): 0.00 states/eV/cell
- Volume: 19.05 Å³/atom

[8]
A geometry-optimized K2Tc2PbO7 structure, computed with PBE-GGA.

a = 3.985 Å, b = 3.985 Å, c = 21.357 Å
α = 90.00°, β = 90.00°, γ = 90.00°
Space group I4/mmm (No. 139)
Unique sites:
1 K 0.000 0.000 0.189 (multiplicity 4)
2 Tc 0.000 0.000 0.406 (multiplicity 4)
3 Pb 0.000 0.000 0.000 (multiplicity 2)
4 O 0.000 0.000 0.319 (multiplicity 4)
5 O 0.000 0.000 0.500 (multiplicity 2)
6 O 0.000 0.500 0.089 (multiplicity 8)

Properties
- ΔE_f (raw): -1.44 eV per atom
- N(E_F): 9.23 states/eV/cell
- Volume: 14.14 Å³/atom

[9]
A geometry-optimized K3Tc2PbO8 structure, computed with PBE-GGA.

a = 6.2319 Å, b = 6.2319 Å, c = 7.9709 Å
α = 90.00°, β = 90.00°, γ = 120.00°
Space group P-3m1 (No. 164)
Unique sites:
1 K 0.0000 0.0000 0.0000 (multiplicity 1)
2 K 0.3333 0.6667 0.6648 (multiplicity 2)
3 Tc 0.3333 0.6667 0.2082 (multiplicity 2)
4 Pb 0.0000 0.0000 0.5000 (multiplicity 1)
5 O 0.1768 0.3537 0.2982 (multiplicity 6)
6 O 0.3333 0.6667 0.9863 (multiplicity 2)

Properties
- ΔE_f (raw): -1.50 eV per atom
- N(E_F): 7.59 states/eV/cell
- Volume: 19.15 Å³/atom

[10]
A geometry-optimized KTcPbO5 structure, computed with PBE-GGA.

a = 7.916 Å, b = 10.541 Å, c = 8.325 Å
α = 90.00°, β = 111.86°, γ = 90.00°
Space group C2/c (No. 15)
Unique sites:
1 K 0.000 0.180 0.250 (multiplicity 4)
2 Tc 0.000 0.173 0.750 (multiplicity 4)
3 Pb 0.000 0.500 0.000 (multiplicity 4)
4 O 0.000 0.429 0.250 (multiplicity 4)
5 O 0.108 0.272 0.646 (multiplicity 8)
6 O 0.155 0.074 0.907 (multiplicity 8)

Properties
- ΔE_f (raw): -1.37 eV per atom
- N(E_F): 12.30 states/eV/cell
- Volume: 20.15 Å³/atom

[11]
A geometry-optimized KTcPbO4 structure, computed with PBE-GGA.

a = 6.034 Å, b = 6.225 Å, c = 7.659 Å
α = 90.00°, β = 111.14°, γ = 90.00°
Space group P2_1/m (No. 11)
Unique sites:
1 K 0.228 0.250 0.080 (multiplicity 2)
2 Tc 0.460 0.250 0.721 (multiplicity 2)
3 Pb 0.136 0.750 0.533 (multiplicity 2)
4 O 0.221 0.750 0.206 (multiplicity 2)
5 O 0.278 0.250 0.467 (multiplicity 2)
6 O 0.336 0.005 0.782 (multiplicity 4)

Properties
- ΔE_f (raw): -1.33 eV per atom
- N(E_F): 5.14 states/eV/cell
- Volume: 19.17 Å³/atom

[12]
A geometry-optimized KTcPb2O6 structure, computed with PBE-GGA.

a = 5.944 Å, b = 6.214 Å, c = 6.289 Å
α = 93.91°, β = 117.80°, γ = 117.18°
Space group P1 (No. 1)
Unique sites:
1 K 0.000 0.000 0.000 (multiplicity 1)
2 Tc 0.041 0.555 0.530 (multiplicity 1)
3 Pb 0.432 0.171 0.702 (multiplicity 1)
4 Pb 0.459 0.698 0.226 (multiplicity 1)
5 O 0.190 0.405 0.421 (multiplicity 1)
6 O 0.237 0.837 0.361 (multiplicity 1)
7 O 0.433 0.824 0.844 (multiplicity 1)
8 O 0.656 0.378 0.242 (multiplicity 1)
9 O 0.948 0.821 0.582 (multiplicity 1)
10 O 0.960 0.371 0.724 (multiplicity 1)

Properties
- ΔE_f (raw): -1.31 eV per atom
- Volume: 17.07 Å³/atom

no.,uncorrected energy (eV per atom)
1,-6.6157
2,-7.3647
3,-6.4987
4,-7.0768
5,-6.5917
6,-5.7259
7,-6.2401
8,-6.5538
9,-6.3177
10,-6.3669
11,-6.3322
12,-6.1703